Record 1
Here is an optimized crystal structure of Sm3Sc2Tl3 from the Alexandria database. Energies are from PBE.

Structure (extended XYZ):
```
8
Lattice="4.413 0.000 0.000 0.000 4.896 0.000 -2.207 -2.448 10.215" Properties=species:S:1:pos:R:3 pbc="T T T"
Sm 2.207 2.448 2.517
Sm 0.000 0.000 7.698
Sm 2.207 0.000 0.000
Sc 2.207 0.000 4.943
Sc 0.000 2.448 5.272
Tl 0.000 0.000 2.875
Tl 0.000 2.448 0.000
Tl 2.207 2.448 7.340
```

## Properties
E_form ... -0.25 eV/atom
Fermi-level density of states ... 1.2106 states/eV per atom

***

Record 2
Here is an optimized crystal structure of Sm2YMgO from the Alexandria database. Energies are from PBE.

Structure (extended XYZ):
```
5
Lattice="4.798 0.000 0.000 0.000 4.976 0.000 0.000 0.000 4.976" Properties=species:S:1:pos:R:3 pbc="T T T"
Sm 0.000 0.000 2.488
Sm 0.000 2.488 0.000
Y 2.399 0.000 0.000
Mg 2.399 2.488 2.488
O 0.000 0.000 0.000
```

## Properties
Fermi-level density of states ... 0.8418 states/eV per atom
DFT total energy ... -0.4178 Ry per atom

***

Record 3
Here is an optimized crystal structure of CaLaHo2Bi4 from the Alexandria database. Energies are from PBE.

Structure (extended XYZ):
```
8
Lattice="-0.204 -4.524 -0.368 7.319 -0.068 -3.222 5.326 -0.706 5.724" Properties=species:S:1:pos:R:3 pbc="T T T"
Ca 8.884 -3.002 3.929
La 6.323 -0.387 1.251
Ho 5.326 -0.706 5.724
Ho 2.561 -2.615 2.678
Bi 9.564 -0.579 1.817
Bi 2.877 -4.718 0.317
Bi 6.784 -2.485 -1.251
Bi 5.657 -2.812 3.385
```

## Properties
E_form ... -0.84 eV/atom
Fermi-level density of states ... 0.4548 states/eV per atom

***

Record 4
Here is an optimized crystal structure of Sr2LiMgAu from the Alexandria database. Energies are from PBE.

Structure (extended XYZ):
```
5
Lattice="6.082 0.000 0.000 0.000 6.082 0.000 0.000 0.000 4.935" Properties=species:S:1:pos:R:3 pbc="T T T"
Sr 0.000 3.041 0.000
Sr 3.041 0.000 0.000
Mg 3.041 3.041 2.467
Au 0.000 0.000 0.000
Li 0.000 0.000 2.467
```

## Properties
E_form ... -0.23 eV/atom
Fermi-level density of states ... 0.4574 states/eV per atom
Distance to the lowest polymorph of the same formula ... 5.4 kJ/mol of formula units